[1]
Compound: KCaBe3
Source: the Alexandria database
Functional: PBE
Structure: relaxed

Cell lengths 5.1792, 5.1792, 5.1792 Å; angles 90.00, 90.00, 90.00 degrees
Last column: nearest neighbours and their distance in Å.
Element x y z (fractional)
K 0.0000 0.0000 0.0000  6 Be 2.59
Ca 0.5000 0.5000 0.5000  12 Be 3.66
Be 0.0000 0.0000 0.5000  2 K 2.59
Be 0.0000 0.5000 0.0000  2 K 2.59
Be 0.5000 0.0000 0.0000  2 K 2.59

Results
E	-1.09	eV/atom
ΔE_f	1.764	eV per atom
calculated density	1.269	Mg/m³
crystal system	cubic
space group	Pm-3m



[2]
Compound: KCaBe2
Source: the Alexandria database
Functional: PBE
Structure: relaxed

Cell lengths 4.0945, 4.0981, 7.5827 Å; angles 90.00, 105.56, 90.00 degrees
Last column: nearest neighbours and their distance in Å.
Element x y z (fractional)
K 0.0000 0.0000 0.0000  6 Be 3.28-3.52
Ca 0.2606 0.5000 0.5247  2 Be 2.75
Be 0.6360 0.5000 0.2732  2 Be 2.13
Be 0.6752 0.0000 0.3514  2 Be 2.13

Results
E	-2.08	eV/atom
ΔE_f	0.561	eV per atom
calculated density	1.317	Mg/m³
crystal system	monoclinic
space group	Pm



[3]
Compound: KCaBe2
Source: the Alexandria database
Functional: PBE
Structure: relaxed

Cell lengths 3.1103, 3.2863, 9.3051 Å; angles 90.00, 90.00, 90.00 degrees
Last column: nearest neighbours and their distance in Å.
Element x y z (fractional)
K 0.0000 0.0000 0.0000  4 K 3.11-3.29, 1 Be 3.31
Ca 0.5000 0.5000 0.4048  1 Be 2.82, 2 Ca 3.11
Be 0.0000 0.0000 0.6439  4 Be 2.34
Be 0.5000 0.5000 0.7081  4 Be 2.34

Results
E	-2.03	eV/atom
ΔE_f	0.608	eV per atom
calculated density	1.697	Mg/m³
crystal system	orthorhombic
space group	Pmm2



[4]
Compound: KCaBe2
Source: the Alexandria database
Functional: PBE
Structure: relaxed

Cell lengths 8.3460, 8.3460, 6.2815 Å; angles 90.00, 90.00, 90.00 degrees
Last column: nearest neighbours and their distance in Å.
Element x y z (fractional)
K 0.0000 0.0000 0.0000  2 Ca 3.14, 4 Be 3.17
K 0.0000 0.5000 0.2500  2 Ca 3.14, 4 Be 3.17
K 0.5000 0.0000 0.7500  2 Ca 3.14, 4 Be 3.17
K 0.5000 0.5000 0.5000  2 Ca 3.14, 4 Be 3.17
Ca 0.0000 0.0000 0.5000  4 Be 2.95, 2 K 3.14
Ca 0.0000 0.5000 0.7500  4 Be 2.95, 2 K 3.14
Ca 0.5000 0.0000 0.2500  4 Be 2.95, 2 K 3.14
Ca 0.5000 0.5000 0.0000  4 Be 2.95, 2 K 3.14
Be 0.2308 0.2500 0.6250  2 Ca 2.95, 2 Be 3.16, 2 K 3.17
Be 0.2500 0.7308 0.8750  2 Ca 2.95, 2 Be 3.16, 2 K 3.17
Be 0.2500 0.7692 0.3750  2 Ca 2.95, 2 Be 3.16, 2 K 3.17
Be 0.2692 0.2500 0.1250  2 Ca 2.95, 2 Be 3.16, 2 K 3.17
Be 0.7308 0.7500 0.1250  2 Ca 2.95, 2 Be 3.16, 2 K 3.17
Be 0.7500 0.2308 0.3750  2 Ca 2.95, 2 Be 3.16, 2 K 3.17
Be 0.7500 0.2692 0.8750  2 Ca 2.95, 2 Be 3.16, 2 K 3.17
Be 0.7692 0.7500 0.6250  2 Ca 2.95, 2 Be 3.16, 2 K 3.17

Results
E	-1.52	eV/atom
ΔE_f	1.118	eV per atom
calculated density	1.476	Mg/m³
crystal system	tetragonal
space group	I-42d



[5]
Compound: KCa3Be
Source: the Alexandria database
Functional: PBE
Structure: relaxed

Cell lengths 6.4337, 6.4337, 6.4337 Å; angles 90.00, 90.00, 90.00 degrees
Last column: nearest neighbours and their distance in Å.
Element x y z (fractional)
K 0.0000 0.0000 0.0000  6 Ca 3.22
Ca 0.0000 0.0000 0.5000  2 K 3.22
Ca 0.0000 0.5000 0.0000  2 K 3.22
Ca 0.5000 0.0000 0.0000  2 K 3.22
Be 0.5000 0.5000 0.5000  12 Ca 4.55

Results
E	-0.73	eV/atom
ΔE_f	1.435	eV per atom
calculated density	1.050	Mg/m³
crystal system	cubic
space group	Pm-3m



[6]
Compound: KCaBe2
Source: the Alexandria database
Functional: PBE
Structure: relaxed

Cell lengths 4.0404, 5.5416, 9.0795 Å; angles 90.00, 90.00, 90.00 degrees
Last column: nearest neighbours and their distance in Å.
Element x y z (fractional)
K 0.0000 0.0000 0.0000  4 Ca 3.20-3.57, 5 Be 3.21-3.54
K 0.5000 0.5000 0.5000  4 Ca 3.20-3.57, 5 Be 3.21-3.54
Ca 0.0000 0.5000 0.1761  4 K 3.20-3.57, 5 Be 3.23-3.43
Ca 0.5000 0.0000 0.6761  4 K 3.20-3.57, 5 Be 3.23-3.43
Be 0.0000 0.0000 0.3711  2 Be 2.07
Be 0.0000 0.5000 0.8207  2 Be 2.07
Be 0.5000 0.0000 0.3207  2 Be 2.07
Be 0.5000 0.5000 0.8711  2 Be 2.07

Results
E	-2.02	eV/atom
ΔE_f	0.614	eV per atom
calculated density	1.588	Mg/m³
crystal system	orthorhombic
space group	Imm2



[7]
Compound: K2Ca2Be
Source: the Alexandria database
Functional: PBE
Structure: relaxed

Cell lengths 4.8256, 4.8256, 21.8225 Å; angles 90.00, 90.00, 90.00 degrees
Last column: nearest neighbours and their distance in Å.
Element x y z (fractional)
K 0.0000 0.0000 0.0852  1 K 3.72, 4 Be 3.89
K 0.0000 0.0000 0.9148  1 K 3.72, 4 Be 3.89
K 0.5000 0.5000 0.4148  1 K 3.72, 4 Be 3.89
K 0.5000 0.5000 0.5852  1 K 3.72, 4 Be 3.89
Ca 0.0000 0.5000 0.2500  4 Ca 3.41
Ca 0.0000 0.5000 0.7500  4 Ca 3.41
Ca 0.5000 0.0000 0.2500  4 Ca 3.41
Ca 0.5000 0.0000 0.7500  4 Ca 3.41
Be 0.0000 0.0000 0.5000  8 K 3.89
Be 0.5000 0.5000 0.0000  8 K 3.89

Results
E	-1.21	eV/atom
ΔE_f	0.778	eV per atom
calculated density	1.094	Mg/m³
crystal system	tetragonal
space group	I4/mmm



[8]
Compound: KCa2Be
Source: the Alexandria database
Functional: PBE
Structure: relaxed

Cell lengths 8.2123, 8.2123, 8.2123 Å; angles 90.00, 90.00, 90.00 degrees
Last column: nearest neighbours and their distance in Å.
Element x y z (fractional)
K 0.0000 0.0000 0.0000  4 Ca 3.56, 4 Be 3.56
K 0.0000 0.5000 0.5000  4 Ca 3.56, 4 Be 3.56
K 0.5000 0.0000 0.5000  4 Ca 3.56, 4 Be 3.56
K 0.5000 0.5000 0.0000  4 Ca 3.56, 4 Be 3.56
Ca 0.0000 0.0000 0.5000  4 Be 3.56, 4 Ca 3.56
Ca 0.0000 0.5000 0.0000  4 Be 3.56, 4 Ca 3.56
Ca 0.2500 0.2500 0.7500  4 K 3.56, 4 Ca 3.56
Ca 0.2500 0.7500 0.2500  4 K 3.56, 4 Ca 3.56
Ca 0.5000 0.0000 0.0000  4 Be 3.56, 4 Ca 3.56
Ca 0.5000 0.5000 0.5000  4 Be 3.56, 4 Ca 3.56
Ca 0.7500 0.2500 0.2500  4 K 3.56, 4 Ca 3.56
Ca 0.7500 0.7500 0.7500  4 K 3.56, 4 Ca 3.56
Be 0.2500 0.2500 0.2500  4 K 3.56, 4 Ca 3.56
Be 0.2500 0.7500 0.7500  4 K 3.56, 4 Ca 3.56
Be 0.7500 0.2500 0.7500  4 K 3.56, 4 Ca 3.56
Be 0.7500 0.7500 0.2500  4 K 3.56, 4 Ca 3.56

Results
E	-1.53	eV/atom
ΔE_f	0.678	eV per atom
calculated density	1.538	Mg/m³
crystal system	cubic
space group	F-43m